# GGA-PBE Hf2Sc3In3, optimized geometry
# E: -6.17 eV/atom
# ΔE_f: -0.278 eV per atom
data_Hf2Sc3In3
_symmetry_space_group_name_H-M 'I m m m'
_symmetry_Int_Tables_number 71
_symmetry_space_group_name_Hall '-I 2 2'
_cell_length_a 3.4675
_cell_length_b 5.0371
_cell_length_c 20.6619
_cell_angle_alpha 90.00
_cell_angle_beta 90.00
_cell_angle_gamma 90.00
loop_
_atom_site_label
_atom_site_type_symbol
_atom_site_fract_x
_atom_site_fract_y
_atom_site_fract_z
_atom_site_occupancy
Hf1 Hf 0.0000 0.0000 0.2480 1
Sc1 Sc 0.0000 0.0000 0.0000 1
Sc2 Sc 0.0000 0.5000 0.1264 1
In1 In 0.0000 0.0000 0.5000 1
In2 In 0.0000 0.5000 0.3729 1


# GGA-PBE PuAlPb2S5, optimized geometry
# E: -6.09 eV/atom
# Formation energy (no corrections): -0.968 eV per atom
data_PuAlPb2S5
_symmetry_space_group_name_H-M 'C m c 21'
_symmetry_Int_Tables_number 36
_cell_length_a 3.9488
_cell_length_b 17.7614
_cell_length_c 12.7966
_cell_angle_alpha 90.00
_cell_angle_beta 90.00
_cell_angle_gamma 90.00
loop_
_symmetry_equiv_pos_as_xyz
'x,y,z'
'-x,-y,z+1/2'
'-x,y,z'
'x,-y,z+1/2'
'x+1/2,y+1/2,z'
'-x+1/2,-y+1/2,z+1/2'
'-x+1/2,y+1/2,z'
'x+1/2,-y+1/2,z+1/2'
loop_
_atom_site_label
_atom_site_type_symbol
_atom_site_fract_x
_atom_site_fract_y
_atom_site_fract_z
_atom_site_occupancy
Pu1 Pu 0.0000 0.1985 0.0000 1
Al1 Al 0.0000 0.4473 0.3958 1
Pb1 Pb 0.0000 0.1211 0.2972 1
Pb2 Pb 0.0000 0.1293 0.6406 1
S1 S 0.0000 0.0365 0.9920 1
S2 S 0.0000 0.2944 0.6464 1
S3 S 0.0000 0.3225 0.3513 1
S4 S 0.0000 0.3521 0.9865 1
S5 S 0.0000 0.4895 0.7459 1


# GGA-PBE Ac6MgPb2, optimized geometry
# E: -3.80 eV/atom
# ΔE_f: -0.058 eV per atom
data_Ac6MgPb2
_symmetry_space_group_name_H-M 'C 1 2/m 1'
_symmetry_Int_Tables_number 12
_cell_length_a 17.9249
_cell_length_b 8.0274
_cell_length_c 5.7165
_cell_angle_alpha 90.00
_cell_angle_beta 108.50
_cell_angle_gamma 90.00
loop_
_symmetry_equiv_pos_as_xyz
'x,y,z'
'-x,-y,-z'
'-x,y,-z'
'x,-y,z'
'x+1/2,y+1/2,z'
'-x+1/2,-y+1/2,-z'
'-x+1/2,y+1/2,-z'
'x+1/2,-y+1/2,z'
loop_
_atom_site_label
_atom_site_type_symbol
_atom_site_fract_x
_atom_site_fract_y
_atom_site_fract_z
_atom_site_occupancy
Ac1 Ac 0.0000 0.2445 0.0000 1
Ac2 Ac 0.1654 0.2493 0.6659 1
Mg1 Mg 0.0000 0.0000 0.5000 1
Pb1 Pb 0.1669 0.5000 0.1676 1


# GGA-PBE LiMg2TcH6, optimized geometry
# E: -3.84 eV/atom
data_LiMg2TcH6
_symmetry_space_group_name_H-M 'F m -3 m'
_symmetry_Int_Tables_number 225
_symmetry_space_group_name_Hall '-F 4 2 3'
_cell_length_a 6.8812
_cell_length_b 6.8812
_cell_length_c 6.8812
_cell_angle_alpha 90.00
_cell_angle_beta 90.00
_cell_angle_gamma 90.00
loop_
_atom_site_label
_atom_site_type_symbol
_atom_site_fract_x
_atom_site_fract_y
_atom_site_fract_z
_atom_site_occupancy
Li1 Li 0.0000 0.0000 0.0000 1
Mg1 Mg 0.2500 0.2500 0.2500 1
Tc1 Tc 0.0000 0.0000 0.5000 1
H1 H 0.0000 0.0000 0.2502 1


# GGA-PBE Cs2Cd3Hg4, optimized geometry
# E: -0.77 eV/atom
# ΔE_f: -0.140 eV per atom
# Energy relative to the lowest polymorph listed for this composition: 0.000 eV/atom
data_Cs2Cd3Hg4
_symmetry_space_group_name_H-M 'C m c e'
_symmetry_Int_Tables_number 64
_symmetry_space_group_name_Hall '-C 2ac 2'
_cell_length_a 6.7995
_cell_length_b 19.2672
_cell_length_c 9.3558
_cell_angle_alpha 90.00
_cell_angle_beta 90.00
_cell_angle_gamma 90.00
loop_
_atom_site_label
_atom_site_type_symbol
_atom_site_fract_x
_atom_site_fract_y
_atom_site_fract_z
_atom_site_occupancy
Cs1 Cs 0.0000 0.1134 0.0995 1
Cd1 Cd 0.0000 0.0000 0.5000 1
Cd2 Cd 0.2500 0.2126 0.7500 1
Hg1 Hg 0.0000 0.2000 0.4759 1
Hg2 Hg 0.2500 0.0544 0.7500 1


# GGA-PBE TaCuC2, optimized geometry
# E: -7.80 eV/atom
# ΔE_f: 0.799 eV per atom
# Energy relative to the lowest polymorph listed for this composition: 0.000 eV/atom
data_TaCuC2
_symmetry_space_group_name_H-M 'I -4 2 d'
_symmetry_Int_Tables_number 122
_symmetry_space_group_name_Hall 'I -4 2bw'
_cell_length_a 4.6856
_cell_length_b 4.6856
_cell_length_c 9.4582
_cell_angle_alpha 90.00
_cell_angle_beta 90.00
_cell_angle_gamma 90.00
loop_
_atom_site_label
_atom_site_type_symbol
_atom_site_fract_x
_atom_site_fract_y
_atom_site_fract_z
_atom_site_occupancy
Ta1 Ta 0.0000 0.0000 0.0000 1
Cu1 Cu 0.0000 0.0000 0.5000 1
C1 C 0.2437 0.2500 0.6250 1